Density functional theory data (PBE) for La5Ce3Bi8 after structural relaxation.

Cell: 9.338 9.338 9.340 Å, 60.01 60.01 60.00°
Fractional positions:
La 0.500 0.000 0.000
La 0.500 0.500 0.000
La 0.000 0.000 0.000
La 0.000 0.500 0.000
La 0.500 0.500 0.500
Ce 0.500 0.000 0.500
Ce 0.000 0.000 0.500
Ce 0.000 0.500 0.500
Bi 0.250 0.250 0.745
Bi 0.250 0.755 0.745
Bi 0.755 0.250 0.745
Bi 0.752 0.752 0.744
Bi 0.750 0.750 0.255
Bi 0.750 0.245 0.255
Bi 0.245 0.750 0.255
Bi 0.248 0.248 0.256

## Properties
- Symmetry: R-3m, No. 166
- Energy of formation from the pure elements: -0.958 eV per atom

=====

Density functional theory data (PBE) for La2CeBi2N2 after structural relaxation.

Cell: 4.574 4.574 8.884 Å, 104.92 104.92 90.00°
Fractional positions:
La 0.400 0.400 0.800
La 0.600 0.600 0.200
Ce 0.000 0.000 0.000
Bi 0.206 0.206 0.412
Bi 0.794 0.794 0.588
N 0.000 0.500 0.000
N 0.500 0.000 0.000

## Properties
- Symmetry: I4/mmm, No. 139
- Formation energy (no corrections): -0.981 eV per atom

=====

Density functional theory data (PBE) for LaCeBiN2 after structural relaxation.

Cell: 5.686 5.702 8.077 Å, 110.67 90.00 90.00°
Fractional positions:
La 0.250 0.581 0.161
La 0.750 0.419 0.839
Ce 0.250 0.931 0.861
Ce 0.750 0.069 0.139
Bi 0.750 0.749 0.498
Bi 0.250 0.251 0.502
N 0.500 0.239 0.000
N 0.000 0.761 0.000
N 0.500 0.761 0.000
N 0.000 0.239 0.000

## Properties
- Symmetry: Cmcm, No. 63
- Formation energy (no corrections): -1.103 eV per atom

=====

Density functional theory data (PBE) for LaCeBiN after structural relaxation.

Cell: 4.791 4.791 9.322 Å, 90.00 90.00 90.00°
Fractional positions:
La 0.000 0.000 0.500
La 0.500 0.500 0.500
Ce 0.500 0.000 0.827
Ce 0.000 0.500 0.173
Bi 0.000 0.500 0.805
Bi 0.500 0.000 0.195
N 0.000 0.500 0.403
N 0.500 0.000 0.597

## Properties
- Symmetry: P4/nmm, No. 129
- Formation energy (no corrections): -1.192 eV per atom

=====

Density functional theory data (PBE) for LaCeNd2Bi4 after structural relaxation.

Cell: 4.631 8.019 8.026 Å, 70.58 90.00 90.00°
Fractional positions:
La 0.000 0.500 0.500
Ce 0.500 0.500 0.000
Nd 0.000 0.000 0.000
Nd 0.500 0.000 0.500
Bi 0.000 0.750 0.753
Bi 0.000 0.250 0.247
Bi 0.500 0.752 0.246
Bi 0.500 0.248 0.754

## Properties
- Symmetry: P2/m, No. 10
- Energy of formation from the pure elements: -0.937 eV per atom

=====

Density functional theory data (PBE) for La2Ce3NdBi6 after structural relaxation.

Cell: 8.034 8.034 8.040 Å, 99.59 99.59 120.00°
Fractional positions:
La 0.334 0.666 0.000
La 0.666 0.334 0.000
Ce 0.168 0.832 0.500
Ce 0.832 0.168 0.500
Ce 0.500 0.500 0.500
Nd 0.000 0.000 0.000
Bi 0.915 0.584 0.745
Bi 0.755 0.755 0.256
Bi 0.085 0.416 0.255
Bi 0.584 0.915 0.745
Bi 0.245 0.245 0.744
Bi 0.416 0.085 0.255

## Properties
- Symmetry: C2/m, No. 12
- Energy of formation from the pure elements: -0.908 eV per atom

=====

Density functional theory data (PBE) for LaCe2NdBi4 after structural relaxation.

Cell: 4.629 8.022 8.019 Å, 70.55 90.00 90.00°
Fractional positions:
La 0.000 0.500 0.500
Ce 0.000 0.000 0.000
Ce 0.500 0.000 0.500
Nd 0.500 0.500 0.000
Bi 0.000 0.754 0.751
Bi 0.000 0.246 0.249
Bi 0.500 0.755 0.246
Bi 0.500 0.245 0.754

## Properties
- Symmetry: P2/m, No. 10
- Energy of formation from the pure elements: -0.899 eV per atom

=====

Density functional theory data (PBE) for LaCe3Nd2Bi6 after structural relaxation.

Cell: 8.006 8.006 8.008 Å, 99.60 99.60 120.00°
Fractional positions:
La 0.000 0.000 0.000
Ce 0.166 0.834 0.500
Ce 0.834 0.166 0.500
Ce 0.500 0.500 0.500
Nd 0.333 0.667 0.000
Nd 0.667 0.333 0.000
Bi 0.915 0.580 0.746
Bi 0.749 0.749 0.253
Bi 0.085 0.420 0.254
Bi 0.580 0.915 0.746
Bi 0.251 0.251 0.747
Bi 0.420 0.085 0.254

## Properties
- Symmetry: C2/m, No. 12
- Energy of formation from the pure elements: -0.891 eV per atom

=====

Density functional theory data (PBE) for La2CeBi2O2 after structural relaxation.

Cell: 4.534 4.534 9.180 Å, 104.30 104.30 90.00°
Fractional positions:
La 0.382 0.382 0.764
La 0.618 0.618 0.236
Ce 0.000 0.000 0.000
Bi 0.186 0.186 0.373
Bi 0.814 0.814 0.627
O 0.000 0.500 0.000
O 0.500 0.000 0.000

## Properties
- Symmetry: I4/mmm, No. 139
- Formation energy (no corrections): -1.877 eV per atom

=====

Density functional theory data (PBE) for LaCeBiO2 after structural relaxation.

Cell: 4.057 4.057 7.363 Å, 105.99 105.99 90.00°
Fractional positions:
La 0.841 0.841 0.681
Ce 0.162 0.162 0.325
Bi 0.505 0.505 0.010
O 0.746 0.246 0.492
O 0.246 0.746 0.492

## Properties
- Symmetry: I4mm, No. 107
- Formation energy (no corrections): -2.653 eV per atom

=====

Density functional theory data (PBE) for La2CePmBi4 after structural relaxation.

Cell: 4.650 8.049 8.055 Å, 109.46 90.00 90.00°
Fractional positions:
La 0.500 0.000 0.500
La 0.000 0.500 0.500
Ce 0.000 0.000 0.000
Pm 0.500 0.500 0.000
Bi 0.500 0.247 0.243
Bi 0.500 0.753 0.757
Bi 0.000 0.252 0.756
Bi 0.000 0.748 0.244

## Properties
- Symmetry: P2/m, No. 10
- Energy of formation from the pure elements: -0.963 eV per atom

=====

Density functional theory data (PBE) for LaCe3Pm2Bi6 after structural relaxation.

Cell: 7.989 7.989 7.993 Å, 99.59 99.59 120.00°
Fractional positions:
La 0.000 0.000 0.000
Ce 0.165 0.835 0.500
Ce 0.835 0.165 0.500
Ce 0.500 0.500 0.500
Pm 0.333 0.667 0.000
Pm 0.667 0.333 0.000
Bi 0.916 0.579 0.747
Bi 0.747 0.747 0.251
Bi 0.084 0.421 0.253
Bi 0.579 0.916 0.747
Bi 0.253 0.253 0.749
Bi 0.421 0.084 0.253

## Properties
- Symmetry: C2/m, No. 12
- Energy of formation from the pure elements: -0.887 eV per atom

=====

Number 1: calculated total energy -5.55 eV/atom, volume 36.00 A^3/atom, calculated density 8.03 g/cm3. Number 2: calculated total energy -6.72 eV/atom, volume 24.73 A^3/atom, calculated density 8.29 g/cm3. Number 3: calculated total energy -7.38 eV/atom, volume 24.50 A^3/atom, calculated density 6.99 g/cm3. Number 4: calculated total energy -6.96 eV/atom, volume 26.75 A^3/atom, calculated density 7.79 g/cm3. Number 5: calculated total energy -5.43 eV/atom, volume 35.14 A^3/atom, calculated density 8.29 g/cm3. Number 6: calculated total energy -5.55 eV/atom, volume 35.31 A^3/atom, calculated density 8.22 g/cm3. Number 7: calculated total energy -5.53 eV/atom, volume 35.09 A^3/atom, calculated density 8.28 g/cm3. Number 8: calculated total energy -5.52 eV/atom, volume 34.92 A^3/atom, calculated density 8.33 g/cm3. Number 9: calculated total energy -6.66 eV/atom, volume 25.26 A^3/atom, calculated density 8.15 g/cm3. Number 10: calculated total energy -7.58 eV/atom, volume 22.32 A^3/atom, calculated density 7.74 g/cm3. Number 11: calculated total energy -5.47 eV/atom, volume 35.53 A^3/atom, calculated density 8.17 g/cm3. Number 12: calculated total energy -5.51 eV/atom, volume 34.71 A^3/atom, calculated density 8.39 g/cm3.